Record 1
{"formula": "ZnNiAg2", "functional": "GGA-PBE", "state": "relaxed", "dos_ef_per_ev_atom": 0.282, "e_form_kj_per_mol_fu": 30, "density_g_cm3": 9.23, "lattice": [[4.757, 0.000, 0.000], [0.000, 2.850, 0.000], [-1.537, 0.000, 4.508]], "species": ["Zn", "Ni", "Ag", "Ag"], "frac_coords": [[0.000, 0.000, 0.000], [0.000, 0.500, 0.500], [0.500, 0.000, 0.500], [0.500, 0.500, 0.000]]}

Record 2
{"formula": "SrTaHg2", "functional": "GGA-PBE", "state": "relaxed", "dos_ef_per_ev_atom": 0.785, "e_form_kj_per_mol_fu": 148, "density_g_cm3": 11.26, "lattice": [[3.277, 0.000, 0.000], [0.000, 3.277, 0.000], [0.000, 0.000, 9.202]], "species": ["Sr", "Ta", "Hg", "Hg"], "frac_coords": [[0.000, 0.000, 0.000], [0.500, 0.500, 0.283], [0.000, 0.000, 0.482], [0.500, 0.500, 0.729]]}

Record 3
{"formula": "Cd2NiRh", "functional": "GGA-PBE", "state": "relaxed", "dos_ef_per_ev_atom": 0.977, "e_form_kj_per_mol_fu": 13, "density_g_cm3": 9.76, "lattice": [[-1.520, 2.296, 4.711], [1.520, -2.296, 4.711], [1.520, 2.296, -4.711]], "species": ["Cd", "Cd", "Ni", "Rh"], "frac_coords": [[0.000, 0.000, 0.000], [0.723, 0.223, 0.500], [0.243, 0.743, 0.500], [0.459, 0.459, 0.000]]}

Record 4
{"formula": "Ac6Ge2SeI3", "functional": "GGA-PBE", "state": "relaxed", "dos_ef_per_ev_atom": 0.575, "density_g_cm3": 7.40, "lattice": [[10.459, -2.306, 0.000], [10.459, 2.306, 0.000], [-2.922, 0.000, 9.157]], "species": ["Ac", "Ac", "Ac", "Ac", "Ac", "Ac", "Ge", "Ge", "Se", "I", "I", "I"], "frac_coords": [[0.010, 0.010, 0.224], [0.322, 0.322, 0.444], [0.344, 0.344, 0.891], [0.656, 0.656, 0.109], [0.678, 0.678, 0.556], [0.990, 0.990, 0.776], [0.165, 0.165, 0.330], [0.835, 0.835, 0.670], [0.500, 0.500, 0.000], [0.169, 0.169, 0.833], [0.500, 0.500, 0.500], [0.831, 0.831, 0.167]]}

Record 5
{"formula": "Al3SiPb", "functional": "GGA-PBE", "state": "relaxed", "dos_ef_per_ev_atom": 0.663, "de_polymorph_mev_per_atom": 0, "density_g_cm3": 4.56, "lattice": [[4.865, 0.000, 0.000], [0.000, 4.865, 0.000], [0.000, 0.000, 4.865]], "species": ["Al", "Al", "Al", "Si", "Pb"], "frac_coords": [[0.000, 0.000, 0.500], [0.000, 0.500, 0.000], [0.500, 0.000, 0.000], [0.000, 0.000, 0.000], [0.500, 0.500, 0.500]]}

Record 6
{"formula": "GdHoZnTc", "functional": "GGA-PBE", "state": "relaxed", "dos_ef_per_ev_atom": 0.615, "e_form_kj_per_mol_fu": -53, "density_g_cm3": 9.49, "lattice": [[0.000, 3.490, 3.490], [3.490, 0.000, 3.490], [3.490, 3.490, 0.000]], "species": ["Gd", "Ho", "Zn", "Tc"], "frac_coords": [[0.000, 0.000, 0.000], [0.500, 0.500, 0.500], [0.250, 0.250, 0.250], [0.750, 0.750, 0.750]]}

Record 7
{"formula": "Hf3TcRu", "functional": "GGA-PBE", "state": "relaxed", "dos_ef_per_ev_atom": 1.198, "de_polymorph_mev_per_atom": 0, "e_form_kj_per_mol_fu": 350, "density_g_cm3": 10.58, "lattice": [[4.867, 0.000, 0.000], [0.000, 4.867, 0.000], [0.000, 0.000, 4.867]], "species": ["Hf", "Hf", "Hf", "Tc", "Ru"], "frac_coords": [[0.000, 0.000, 0.500], [0.000, 0.500, 0.000], [0.500, 0.000, 0.000], [0.500, 0.500, 0.500], [0.000, 0.000, 0.000]]}

Record 8
{"formula": "Nd2ZnAg2", "functional": "GGA-PBE", "state": "relaxed", "dos_ef_per_ev_atom": 0.965, "e_form_kj_per_mol_fu": -127, "density_g_cm3": 7.66, "lattice": [[5.372, -2.260, 0.000], [5.372, 2.260, 0.000], [-4.646, 0.000, 10.174]], "species": ["Nd", "Nd", "Nd", "Nd", "Zn", "Zn", "Ag", "Ag", "Ag", "Ag"], "frac_coords": [[0.016, 0.016, 0.341], [0.192, 0.192, 0.112], [0.808, 0.808, 0.888], [0.984, 0.984, 0.659], [0.279, 0.279, 0.661], [0.721, 0.721, 0.339], [0.352, 0.352, 0.436], [0.481, 0.481, 0.118], [0.519, 0.519, 0.882], [0.648, 0.648, 0.564]]}

no.,electronic total energy (eV/atom)
1,-3.11
2,-3.15
3,-3.71
4,-4.64
5,-3.63
6,-7.71
7,-9.17
8,-3.57